(1)
Below is a geometry-optimized Pr2SiSb structure, with properties calculated at the PBE level.

Computed properties:
**Electronic total energy**: -5.65 eV/atom
**ΔE to the lowest computed polymorph**: 0 meV per atom
**Space group**: Cmcm, No. 63

a = 12.3192 Å, b = 12.3192 Å, c = 4.2195 Å
α = 90.00°, β = 90.00°, γ = 158.43°
With the nearest neighbours (Å) after each atom.
Element x y z (fractional)
Pr 0.0611 0.9389 0.7500  1 Sb 3.10, 6 Si 3.19-3.26
Pr 0.3206 0.6794 0.7500  5 Sb 3.13-3.18
Pr 0.6794 0.3206 0.2500  5 Sb 3.13-3.18
Pr 0.9389 0.0611 0.2500  1 Sb 3.10, 6 Si 3.19-3.26
Si 0.4662 0.5338 0.7500  2 Si 2.67
Si 0.5338 0.4662 0.2500  2 Si 2.67
Sb 0.1890 0.8110 0.7500  6 Pr 3.10-3.18
Sb 0.8110 0.1890 0.2500  6 Pr 3.10-3.18

(2)
Below is a geometry-optimized NiTeCl structure, with properties calculated at the PBE level.

Computed properties:
**Electronic total energy**: -3.92 eV/atom
**Space group**: P3m1, No. 156

a = 3.5082 Å, b = 3.5082 Å, c = 6.5102 Å
α = 90.00°, β = 90.00°, γ = 120.00°
With the nearest neighbours (Å) after each atom.
Element x y z (fractional)
Ni 0.0000 0.0000 0.0000  3 Cl 2.41, 3 Te 2.56
Te 0.6667 0.3333 0.2409  3 Ni 2.56
Cl 0.3333 0.6667 0.7986  3 Ni 2.41

(3)
Below is a geometry-optimized K2BeP structure, with properties calculated at the PBE level.

Computed properties:
**Electronic total energy**: -2.94 eV/atom
**DFT formation energy**: -104 meV/atom
**ΔE to the lowest computed polymorph**: 138 meV per atom
**Space group**: Pm, No. 6

a = 4.6859 Å, b = 3.8173 Å, c = 8.6454 Å
α = 90.00°, β = 105.44°, γ = 90.00°
With the nearest neighbours (Å) after each atom.
Element x y z (fractional)
K 0.0000 0.0000 0.0000  2 P 3.39, 4 Be 3.53-3.54
K 0.2429 0.5000 0.4958  2 Be 3.28, 4 P 3.45-3.46
Be 0.6070 0.5000 0.2204  2 P 2.01
P 0.6444 0.0000 0.2946  2 Be 2.01

(4)
Below is a geometry-optimized HoMg7Cd2In structure, with properties calculated at the PBE level.

Computed properties:
**Electronic total energy**: -1.84 eV/atom
**DFT formation energy**: 8 meV/atom
**Space group**: I-4m2, No. 119

a = 14.2218 Å, b = 14.2218 Å, c = 14.2218 Å
α = 162.11°, β = 162.11°, γ = 25.40°
With the nearest neighbours (Å) after each atom.
Element x y z (fractional)
Ho 0.0000 0.0000 0.0000  4 Cd 3.25, 4 Mg 3.26
Mg 0.0865 0.5865 0.5000  4 Cd 3.13, 4 Mg 3.14-3.18, 2 Ho 3.26
Mg 0.1670 0.1670 0.0000  8 Mg 3.13-3.19, 2 Cd 3.16, 2 In 3.19
Mg 0.3312 0.3312 0.0000  8 Mg 3.13-3.18, 2 In 3.16, 2 Cd 3.19
Mg 0.4135 0.9135 0.5000  4 Cd 3.13, 4 Mg 3.14-3.18, 2 Ho 3.26
Mg 0.6688 0.6688 0.0000  8 Mg 3.13-3.18, 2 In 3.16, 2 Cd 3.19
Mg 0.7500 0.2500 0.5000  4 In 3.13, 8 Mg 3.16-3.19
Mg 0.8330 0.8330 0.0000  8 Mg 3.13-3.19, 2 Cd 3.16, 2 In 3.19
Cd 0.5857 0.0857 0.5000  8 Mg 3.13-3.19, 2 Ho 3.25
Cd 0.9143 0.4143 0.5000  8 Mg 3.13-3.19, 2 Ho 3.25
In 0.2500 0.7500 0.5000  12 Mg 3.13-3.19